VASP calculation (PBE-GGA) on a geometry-optimized Np3Ta5H12 structure.

Geometry as extended XYZ:
```
80
Lattice="-5.901 5.901 5.901 5.901 -5.901 5.901 5.901 5.901 -5.901" Properties=species:S:1:pos:R:3 pbc="T T T"
Np 2.950 1.475 0.000
Np 5.901 2.950 -1.475
Np 1.475 0.000 2.950
Np 7.376 0.000 2.950
Np 0.000 2.950 1.475
Np 2.950 -1.475 5.901
Np 2.950 7.376 0.000
Np 5.901 2.950 4.425
Np -1.475 5.901 2.950
Np 4.425 5.901 2.950
Np 0.000 2.950 7.376
Np 2.950 4.425 5.901
Ta 0.000 0.000 0.000
Ta 2.950 2.950 -2.950
Ta 2.950 -2.950 2.950
Ta 5.901 0.000 0.000
Ta 8.851 1.475 0.000
Ta 5.901 -2.950 4.425
Ta 4.425 5.901 -2.950
Ta 4.425 0.000 2.950
Ta 2.950 4.425 0.000
Ta 5.901 2.950 1.475
Ta -2.950 2.950 2.950
Ta 0.000 5.901 0.000
Ta 0.000 0.000 5.901
Ta 2.950 2.950 2.950
Ta 0.000 2.950 4.425
Ta 2.950 1.475 5.901
Ta 1.475 5.901 2.950
Ta 1.475 0.000 8.851
Ta 0.000 8.851 1.475
Ta -2.950 4.425 5.901
H 1.745 -0.199 0.784
H 7.106 3.734 -3.149
H 5.702 -0.784 1.745
H 9.050 -1.206 2.166
H 7.645 0.199 0.784
H 7.106 -2.166 3.149
H 0.784 1.745 -0.199
H 8.067 2.751 -1.206
H 3.734 3.149 -1.206
H 5.117 1.745 0.199
H -0.199 0.784 1.745
H 3.149 -1.206 3.734
H 5.702 5.117 -1.745
H 3.149 1.206 2.166
H 5.117 -1.745 5.702
H 3.734 -3.149 7.106
H 2.166 3.149 1.206
H 6.685 4.156 0.199
H 1.745 5.702 -0.784
H 7.106 2.166 2.751
H 3.149 7.106 -2.166
H 5.702 0.784 4.156
H 1.206 2.166 3.149
H 1.745 0.199 5.117
H 4.156 5.702 0.784
H 4.695 3.734 2.751
H 0.199 5.117 1.745
H 2.751 -1.206 8.067
H -1.206 3.734 3.149
H 4.156 0.199 6.685
H -0.784 1.745 5.702
H 3.734 2.751 4.695
H 2.166 9.050 -1.206
H 0.784 7.645 0.199
H 2.751 4.695 3.734
H 0.199 0.784 7.645
H 2.751 7.106 2.166
H 6.100 5.117 4.156
H 0.784 4.156 5.702
H 2.166 2.751 7.106
H -2.166 3.149 7.106
H 5.117 4.156 6.100
H -1.206 8.067 2.751
H -1.745 5.702 5.117
H -3.149 7.106 3.734
H 0.199 6.685 4.156
H -1.206 2.166 9.050
H 4.156 6.100 5.117
```

VASP calculation (PBE-GGA) on a geometry-optimized Np2TaH8 structure.

Geometry as extended XYZ:
```
11
Lattice="-1.831 2.217 5.725 1.831 -2.217 5.725 1.831 2.217 -5.725" Properties=species:S:1:pos:R:3 pbc="T T T"
Np 0.000 0.000 1.915
Np 0.000 0.000 9.534
Ta 0.000 0.000 5.725
H 1.831 1.185 -1.598
H 0.000 1.232 0.000
H 1.831 0.000 3.210
H 1.831 1.185 1.598
H 0.000 1.032 4.127
H 0.000 2.217 2.515
H 0.000 3.202 0.000
H 0.000 1.032 7.322
```

VASP calculation (PBE-GGA) on a geometry-optimized NpTaH structure.

Geometry as extended XYZ:
```
12
Lattice="21.206 0.000 0.000 0.000 2.747 0.000 -0.355 0.000 2.733" Properties=species:S:1:pos:R:3 pbc="T T T"
Np 1.173 0.000 0.155
Np 9.075 1.373 2.578
Np 11.776 1.373 0.155
Np 19.678 0.000 2.578
Ta 3.803 1.373 1.889
Ta 6.445 0.000 0.843
Ta 14.406 0.000 1.889
Ta 17.048 1.373 0.843
H 3.398 0.000 0.448
H 6.850 1.373 2.285
H 14.001 1.373 0.448
H 17.453 0.000 2.285
```

12
Lattice="1.857 -6.093 0.000 1.857 6.093 0.000 -0.009 0.000 4.864" Properties=species:S:1:pos:R:3 comment="NpTcH4 (PBE-GGA, optimized geometry)" polymorph_energy_ev_per_atom=0.000 pbc="T T T"
Np 1.850 4.474 3.648
Np 1.854 -4.474 1.216
Tc 1.850 1.259 3.648
Tc 1.854 -1.259 1.216
H 1.854 4.919 1.216
H 1.854 2.478 0.031
H 1.854 2.478 2.401
H 1.857 0.000 0.000
H 1.852 0.000 2.432
H 1.849 -2.478 2.464
H 1.850 -2.478 4.833
H 1.850 -4.919 3.648

VASP calculation (PBE-GGA) on a geometry-optimized NpTc3H structure.

Geometry as extended XYZ:
```
5
Lattice="4.053 0.000 0.000 0.000 4.053 0.000 0.000 0.000 4.053" Properties=species:S:1:pos:R:3 pbc="T T T"
Np 0.000 0.000 0.000
Tc 0.000 2.026 2.026
Tc 2.026 0.000 2.026
Tc 2.026 2.026 0.000
H 2.026 2.026 2.026
```

VASP calculation (PBE-GGA) on a geometry-optimized NpTc2H7 structure.

Geometry as extended XYZ:
```
10
Lattice="2.654 -4.637 0.000 2.654 4.637 0.000 0.000 0.000 3.294" Properties=species:S:1:pos:R:3 pbc="T T T"
Np 0.000 0.000 0.000
Tc 2.654 1.708 1.647
Tc 2.654 -1.708 1.647
H 0.914 1.319 1.647
H 2.654 2.312 0.000
H 0.914 -1.319 1.647
H 2.654 0.000 1.647
H 4.394 1.319 1.647
H 2.654 -2.312 0.000
H 4.394 -1.319 1.647
```

Number 1: energy -6.964 eV per atom, volume 10.272 A^3/atom. Number 2: energy -6.037 eV per atom, volume 8.450 A^3/atom. Number 3: energy -9.318 eV per atom, volume 13.264 A^3/atom. Number 4: energy -6.252 eV per atom, volume 9.172 A^3/atom. Number 5: energy -9.386 eV per atom, volume 13.312 A^3/atom. Number 6: energy -5.663 eV per atom, volume 8.106 A^3/atom.